Record 1
# RbTa2VP PBE optimized geometry
# calculated formation energy = 1.45 eV per atom
# final energy = -32.0 eV per cell
# total magnetization = 0.038 μB per atom
data_RbTa2VP
_chemical_formula_sum 'Rb1 Ta2 V1 P1'
_cell_length_a 4.684
_cell_length_b 4.684
_cell_length_c 5.616
_cell_angle_alpha 90.00
_cell_angle_beta 90.00
_cell_angle_gamma 90.00
_symmetry_space_group_name_H-M 'P 4/m m m'
_symmetry_Int_Tables_number 123
_symmetry_space_group_name_Hall '-P 4 2'
loop_
_atom_site_label
_atom_site_type_symbol
_atom_site_fract_x
_atom_site_fract_y
_atom_site_fract_z
Rb1 Rb 0.000 0.000 0.000
Ta1 Ta 0.000 0.500 0.500
V1 V 0.500 0.500 0.000
P1 P 0.000 0.000 0.500

---

Record 2
# RbTaZn2P PBE optimized geometry
# calculated formation energy = 1.41 eV per atom
# final energy = -13.7 eV per cell
# total magnetization = 0.752 μB per atom
data_RbTaZn2P
_chemical_formula_sum 'Rb1 Ta1 Zn2 P1'
_cell_length_a 4.808
_cell_length_b 4.808
_cell_length_c 6.009
_cell_angle_alpha 90.00
_cell_angle_beta 90.00
_cell_angle_gamma 90.00
_symmetry_space_group_name_H-M 'P 4/m m m'
_symmetry_Int_Tables_number 123
_symmetry_space_group_name_Hall '-P 4 2'
loop_
_atom_site_label
_atom_site_type_symbol
_atom_site_fract_x
_atom_site_fract_y
_atom_site_fract_z
Rb1 Rb 0.000 0.000 0.000
Ta1 Ta 0.500 0.500 0.000
Zn1 Zn 0.000 0.500 0.500
P1 P 0.000 0.000 0.500

---

Record 3
# RbTc2P2 PBE optimized geometry
# calculated formation energy = -0.13 eV per atom
# final energy = -33.2 eV per cell
# total magnetization = 0.000 μB per atom
data_RbTc2P2
_chemical_formula_sum 'Rb1 Tc2 P2'
_cell_length_a 3.831
_cell_length_b 3.831
_cell_length_c 7.358
_cell_angle_alpha 90.00
_cell_angle_beta 90.00
_cell_angle_gamma 90.00
_symmetry_space_group_name_H-M 'P 4/m m m'
_symmetry_Int_Tables_number 123
_symmetry_space_group_name_Hall '-P 4 2'
loop_
_atom_site_label
_atom_site_type_symbol
_atom_site_fract_x
_atom_site_fract_y
_atom_site_fract_z
Rb1 Rb 0.000 0.000 0.000
Tc1 Tc 0.000 0.500 0.500
P1 P 0.500 0.500 0.291

---

Record 4
# RbTc4P2 PBE optimized geometry
# calculated formation energy = -0.26 eV per atom
# final energy = -110.1 eV per cell
# total magnetization = 0.000 μB per atom
data_RbTc4P2
_chemical_formula_sum 'Rb2 Tc8 P4'
_cell_length_a 4.088
_cell_length_b 17.291
_cell_length_c 4.029
_cell_angle_alpha 90.00
_cell_angle_beta 90.00
_cell_angle_gamma 90.00
_symmetry_space_group_name_H-M 'C m m m'
_symmetry_Int_Tables_number 65
_symmetry_space_group_name_Hall '-C 2 2'
loop_
_atom_site_label
_atom_site_type_symbol
_atom_site_fract_x
_atom_site_fract_y
_atom_site_fract_z
Rb1 Rb 0.000 0.000 0.000
Tc1 Tc 0.000 0.195 0.500
Tc2 Tc 0.000 0.293 0.000
P1 P 0.000 0.374 0.500

---

Record 5
# RbTc2P2 PBE optimized geometry
# calculated formation energy = 0.16 eV per atom
# final energy = -63.4 eV per cell
# total magnetization = 0.000 μB per atom
data_RbTc2P2
_chemical_formula_sum 'Rb2 Tc4 P4'
_cell_length_a 4.604
_cell_length_b 4.604
_cell_length_c 8.940
_cell_angle_alpha 90.00
_cell_angle_beta 90.00
_cell_angle_gamma 90.00
_symmetry_space_group_name_H-M 'I 4/m m m'
_symmetry_Int_Tables_number 139
_symmetry_space_group_name_Hall '-I 4 2'
loop_
_atom_site_label
_atom_site_type_symbol
_atom_site_fract_x
_atom_site_fract_y
_atom_site_fract_z
Rb1 Rb 0.000 0.000 0.000
Tc1 Tc 0.000 0.000 0.373
P1 P 0.000 0.500 0.250

---

Record 6
# RbTcP2 PBE optimized geometry
# calculated formation energy = -0.27 eV per atom
# final energy = -92.9 eV per cell
# total magnetization = 0.000 μB per atom
data_RbTcP2
_chemical_formula_sum 'Rb4 Tc4 P8'
_cell_length_a 6.191
_cell_length_b 6.191
_cell_length_c 12.604
_cell_angle_alpha 90.00
_cell_angle_beta 90.00
_cell_angle_gamma 90.00
_symmetry_space_group_name_H-M 'I 41/a m d'
_symmetry_Int_Tables_number 141
loop_
_symmetry_equiv_pos_as_xyz
'x,y,z'
'-x,-y,-z'
'-y+1/4,x+3/4,z+1/4'
'y+1/4,-x+3/4,-z+1/4'
'-x+1/2,-y,z+1/2'
'x+1/2,y,-z+1/2'
'y+1/4,-x+1/4,z+3/4'
'-y+1/4,x+1/4,-z+3/4'
'x,-y,-z'
'-x,y,z'
'-y+1/4,-x+1/4,-z+3/4'
'y+1/4,x+1/4,z+3/4'
'-x+1/2,y,-z+1/2'
'x+1/2,-y,z+1/2'
'y+1/4,x+3/4,-z+1/4'
'-y+1/4,-x+3/4,z+1/4'
'x+1/2,y+1/2,z+1/2'
'-x+1/2,-y+1/2,-z+1/2'
'-y+3/4,x+1/4,z+3/4'
'y+3/4,-x+1/4,-z+3/4'
'-x,-y+1/2,z'
'x,y+1/2,-z'
'y+3/4,-x+3/4,z+1/4'
'-y+3/4,x+3/4,-z+1/4'
'x+1/2,-y+1/2,-z+1/2'
'-x+1/2,y+1/2,z+1/2'
'-y+3/4,-x+3/4,-z+1/4'
'y+3/4,x+3/4,z+1/4'
'-x,y+1/2,-z'
'x,-y+1/2,z'
'y+3/4,x+1/4,-z+3/4'
'-y+3/4,-x+1/4,z+3/4'
loop_
_atom_site_label
_atom_site_type_symbol
_atom_site_fract_x
_atom_site_fract_y
_atom_site_fract_z
Rb1 Rb 0.000 0.250 0.375
Tc1 Tc 0.000 0.250 0.875
P1 P 0.000 0.000 0.000

---

Record 7
# RbTcP2 PBE optimized geometry
# calculated formation energy = 0.88 eV per atom
# final energy = -74.5 eV per cell
# total magnetization = 0.260 μB per atom
data_RbTcP2
_chemical_formula_sum 'Rb4 Tc4 P8'
_cell_length_a 6.641
_cell_length_b 6.641
_cell_length_c 6.641
_cell_angle_alpha 90.00
_cell_angle_beta 90.00
_cell_angle_gamma 90.00
_symmetry_space_group_name_H-M 'F m -3 m'
_symmetry_Int_Tables_number 225
_symmetry_space_group_name_Hall '-F 4 2 3'
loop_
_atom_site_label
_atom_site_type_symbol
_atom_site_fract_x
_atom_site_fract_y
_atom_site_fract_z
Rb1 Rb 0.000 0.000 0.000
Tc1 Tc 0.000 0.000 0.500
P1 P 0.250 0.250 0.250

---

Record 8
# RbTc2P PBE optimized geometry
# calculated formation energy = 0.79 eV per atom
# final energy = -95.7 eV per cell
# total magnetization = 0.203 μB per atom
data_RbTc2P
_chemical_formula_sum 'Rb4 Tc8 P4'
_cell_length_a 4.886
_cell_length_b 4.886
_cell_length_c 16.718
_cell_angle_alpha 90.00
_cell_angle_beta 90.00
_cell_angle_gamma 90.00
_symmetry_space_group_name_H-M 'I 41/a m d'
_symmetry_Int_Tables_number 141
loop_
_symmetry_equiv_pos_as_xyz
'x,y,z'
'-x,-y,-z'
'-y+1/4,x+3/4,z+1/4'
'y+1/4,-x+3/4,-z+1/4'
'-x+1/2,-y,z+1/2'
'x+1/2,y,-z+1/2'
'y+1/4,-x+1/4,z+3/4'
'-y+1/4,x+1/4,-z+3/4'
'x,-y,-z'
'-x,y,z'
'-y+1/4,-x+1/4,-z+3/4'
'y+1/4,x+1/4,z+3/4'
'-x+1/2,y,-z+1/2'
'x+1/2,-y,z+1/2'
'y+1/4,x+3/4,-z+1/4'
'-y+1/4,-x+3/4,z+1/4'
'x+1/2,y+1/2,z+1/2'
'-x+1/2,-y+1/2,-z+1/2'
'-y+3/4,x+1/4,z+3/4'
'y+3/4,-x+1/4,-z+3/4'
'-x,-y+1/2,z'
'x,y+1/2,-z'
'y+3/4,-x+3/4,z+1/4'
'-y+3/4,x+3/4,-z+1/4'
'x+1/2,-y+1/2,-z+1/2'
'-x+1/2,y+1/2,z+1/2'
'-y+3/4,-x+3/4,-z+1/4'
'y+3/4,x+3/4,z+1/4'
'-x,y+1/2,-z'
'x,-y+1/2,z'
'y+3/4,x+1/4,-z+3/4'
'-y+3/4,-x+1/4,z+3/4'
loop_
_atom_site_label
_atom_site_type_symbol
_atom_site_fract_x
_atom_site_fract_y
_atom_site_fract_z
Rb1 Rb 0.000 0.250 0.375
Tc1 Tc 0.000 0.000 0.000
P1 P 0.000 0.250 0.875

---

Record 9
# RbTc3P3 PBE optimized geometry
# calculated formation energy = -0.32 eV per atom
# final energy = -303.3 eV per cell
# total magnetization = 0.000 μB per atom
data_RbTc3P3
_chemical_formula_sum 'Rb6 Tc18 P18'
_cell_length_a 6.5952
_cell_length_b 6.5952
_cell_length_c 25.7042
_cell_angle_alpha 90.00
_cell_angle_beta 90.00
_cell_angle_gamma 120.00
_symmetry_space_group_name_H-M 'R -3'
_symmetry_Int_Tables_number 148
_symmetry_space_group_name_Hall '-R 3'
loop_
_atom_site_label
_atom_site_type_symbol
_atom_site_fract_x
_atom_site_fract_y
_atom_site_fract_z
Rb1 Rb 0.0000 0.0000 0.1625
Tc1 Tc 0.0119 0.3754 0.2973
P1 P 0.0090 0.2918 0.7241

---

Record 10
# Rb2TiTcP PBE optimized geometry
# calculated formation energy = 1.36 eV per atom
# final energy = -18.8 eV per cell
# total magnetization = 0.375 μB per atom
data_Rb2TiTcP
_chemical_formula_sum 'Rb2 Ti1 Tc1 P1'
_cell_length_a 6.793
_cell_length_b 6.793
_cell_length_c 4.351
_cell_angle_alpha 90.00
_cell_angle_beta 90.00
_cell_angle_gamma 90.00
_symmetry_space_group_name_H-M 'P 4/m m m'
_symmetry_Int_Tables_number 123
_symmetry_space_group_name_Hall '-P 4 2'
loop_
_atom_site_label
_atom_site_type_symbol
_atom_site_fract_x
_atom_site_fract_y
_atom_site_fract_z
Rb1 Rb 0.000 0.500 0.000
Ti1 Ti 0.000 0.000 0.000
Tc1 Tc 0.000 0.000 0.500
P1 P 0.500 0.500 0.500

---

Record 11
# Rb8Te2P PBE optimized geometry
# final energy = -51.5 eV per cell
# total magnetization = 0.000 μB per atom
# ΔE_f (raw) = -0.576 eV per atom
data_Rb8Te2P
_chemical_formula_sum 'Rb16 Te4 P2'
_cell_length_a 20.085
_cell_length_b 5.998
_cell_length_c 10.610
_cell_angle_alpha 90.00
_cell_angle_beta 100.21
_cell_angle_gamma 90.00
_symmetry_space_group_name_H-M 'C 1 2/m 1'
_symmetry_Int_Tables_number 12
loop_
_symmetry_equiv_pos_as_xyz
'x,y,z'
'-x,-y,-z'
'-x,y,-z'
'x,-y,z'
'x+1/2,y+1/2,z'
'-x+1/2,-y+1/2,-z'
'-x+1/2,y+1/2,-z'
'x+1/2,-y+1/2,z'
loop_
_atom_site_label
_atom_site_type_symbol
_atom_site_fract_x
_atom_site_fract_y
_atom_site_fract_z
Rb1 Rb 0.057 0.000 0.224
Rb2 Rb 0.068 0.500 0.645
Rb3 Rb 0.184 0.000 0.565
Rb4 Rb 0.188 0.500 0.058
Te1 Te 0.244 0.000 0.245
P1 P 0.000 0.000 0.500

---

Record 12
# RbTeP3 PBE optimized geometry
# final energy = -9.7 eV per cell
# total magnetization = 0.000 μB per atom
# ΔE_f (raw) = 2.127 eV per atom
data_RbTeP3
_chemical_formula_sum 'Rb1 Te1 P3'
_cell_length_a 5.377
_cell_length_b 5.377
_cell_length_c 5.377
_cell_angle_alpha 90.00
_cell_angle_beta 90.00
_cell_angle_gamma 90.00
_symmetry_space_group_name_H-M 'P m -3 m'
_symmetry_Int_Tables_number 221
_symmetry_space_group_name_Hall '-P 4 2 3'
loop_
_atom_site_label
_atom_site_type_symbol
_atom_site_fract_x
_atom_site_fract_y
_atom_site_fract_z
Rb1 Rb 0.000 0.000 0.000
Te1 Te 0.500 0.500 0.500
P1 P 0.000 0.000 0.500